--- one ---
A plane-wave DFT calculation with SCAN was carried out for a PBEsol-optimized structure of Ta2ZnTe.

Lattice parameters (Å, degrees): 8.9622 8.9622 8.9622 19.88 19.88 19.88
Fractional coordinates of all 4 atoms:
Ta  0.2485  0.2485  0.2485
Ta  0.7515  0.7515  0.7515
Zn  0.5000  0.5000  0.5000
Te  0.0000  0.0000  0.0000

Its theoretical density is 12.66 Mg/m³. As for the crystal system: trigonal.

***

--- two ---
A plane-wave DFT calculation with SCAN was carried out for a PBEsol-optimized structure of Ta2ZnTe.

Lattice parameters (Å, degrees): 5.3144 5.3144 5.3144 141.70 129.32 65.26
Fractional coordinates of all 4 atoms:
Ta  0.0000  0.0000  0.0000
Ta  0.7532  0.2532  0.5000
Zn  0.5058  0.5058  0.0000
Te  0.2499  0.7499  0.5000

Its theoretical density is 12.98 Mg/m³. As for the crystal system: orthorhombic.

***

--- three ---
A plane-wave DFT calculation with SCAN was carried out for a PBEsol-optimized structure of Ta2ZnTe.

Lattice parameters (Å, degrees): 5.2877 5.2877 5.2877 142.85 125.98 67.39
Fractional coordinates of all 4 atoms:
Ta  0.2453  0.2453  0.0000
Ta  0.7547  0.7547  0.0000
Zn  0.0000  0.5000  0.5000
Te  0.5000  0.0000  0.5000

Its theoretical density is 12.94 Mg/m³. As for the crystal system: orthorhombic.

***

Q: What are the energies relative to the best structure? A: one 0.161; two 0.016; three 0.000, in eV/atom.

***

--- one ---
A plane-wave DFT calculation with SCAN was carried out for a PBEsol-optimized structure of ZrTaTe.

Lattice parameters (Å, degrees): 5.3167 5.3167 5.3167 140.39 140.39 57.26
Fractional coordinates of all 3 atoms:
Zr  0.0000  0.0000  0.0000
Ta  0.6665  0.6665  0.0000
Te  0.3242  0.3242  0.0000

Its theoretical density is 10.96 Mg/m³. As for the crystal system: tetragonal.

***

--- two ---
A plane-wave DFT calculation with SCAN was carried out for a PBEsol-optimized structure of ZrTaTe.

Lattice parameters (Å, degrees): 4.6785 4.6785 4.6785 60.00 60.00 60.00
Fractional coordinates of all 3 atoms:
Zr  0.0000  0.0000  0.0000
Ta  0.2500  0.2500  0.2500
Te  0.7500  0.7500  0.7500

Its theoretical density is 9.17 Mg/m³. As for the crystal system: cubic.

***

Q: What are the energies relative to the best structure? A: one 0.000; two 0.848, in eV/atom.

***

--- one ---
A plane-wave DFT calculation with SCAN was carried out for a PBEsol-optimized structure of TaTlW2.

Lattice parameters (Å, degrees): 2.7861 2.7861 9.2063 90.00 90.00 90.00
Fractional coordinates of all 4 atoms:
Ta  0.0000  0.0000  0.0000
Tl  0.0000  0.0000  0.5000
W  0.5000  0.5000  0.2412
W  0.5000  0.5000  0.7588

Its theoretical density is 17.50 Mg/m³. As for the crystal system: tetragonal.

***

--- two ---
A plane-wave DFT calculation with SCAN was carried out for a PBEsol-optimized structure of TaTlW2.

Lattice parameters (Å, degrees): 3.4393 3.4393 6.0260 90.00 90.00 90.00
Fractional coordinates of all 4 atoms:
Ta  0.0000  0.0000  0.0000
Tl  0.0000  0.0000  0.5000
W  0.5000  0.5000  0.2162
W  0.5000  0.5000  0.7838

Its theoretical density is 17.54 Mg/m³. As for the crystal system: tetragonal.

***

--- three ---
A plane-wave DFT calculation with SCAN was carried out for a PBEsol-optimized structure of TaTlW2.

Lattice parameters (Å, degrees): 2.8235 4.4812 5.7067 90.00 103.75 90.00
Fractional coordinates of all 4 atoms:
Ta  0.0000  0.0000  0.0000
Tl  0.5681  0.5000  0.2650
W  0.0714  0.0000  0.5425
W  0.5047  0.5000  0.7574

Its theoretical density is 17.83 Mg/m³. As for the crystal system: monoclinic.

***

Q: What are the energies relative to the best structure? A: one 0.239; two 0.015; three 0.000, in eV/atom.

***

--- one ---
A plane-wave DFT calculation with SCAN was carried out for a PBEsol-optimized structure of Y2TaTl.

Lattice parameters (Å, degrees): 4.6098 4.6098 4.4115 90.00 90.00 90.00
Fractional coordinates of all 4 atoms:
Y  0.0000  0.5000  0.0000
Y  0.5000  0.0000  0.0000
Ta  0.0000  0.0000  0.5000
Tl  0.5000  0.5000  0.5000

Its theoretical density is 9.97 Mg/m³. As for the crystal system: tetragonal.

***

--- two ---
A plane-wave DFT calculation with SCAN was carried out for a PBEsol-optimized structure of Y2TaTl.

Lattice parameters (Å, degrees): 3.2149 3.2149 9.4903 90.00 90.00 90.00
Fractional coordinates of all 4 atoms:
Y  0.0000  0.0000  0.0000
Y  0.5000  0.5000  0.3154
Ta  0.0000  0.0000  0.5475
Tl  0.5000  0.5000  0.7626

Its theoretical density is 9.53 Mg/m³. As for the crystal system: tetragonal.

***

Q: What are the energies relative to the best structure? A: one 0.000; two 0.092, in eV/atom.

***

--- one ---
A plane-wave DFT calculation with SCAN was carried out for a PBEsol-optimized structure of YTa2Tl.

Lattice parameters (Å, degrees): 5.8810 5.8810 2.9981 101.28 101.28 119.64
Fractional coordinates of all 4 atoms:
Y  0.0000  0.0000  0.0000
Ta  0.0000  0.5000  0.5000
Ta  0.5000  0.0000  0.5000
Tl  0.5000  0.5000  0.0000

Its theoretical density is 13.10 Mg/m³. As for the crystal system: monoclinic.

***

--- two ---
A plane-wave DFT calculation with SCAN was carried out for a PBEsol-optimized structure of YTa2Tl.

Lattice parameters (Å, degrees): 5.6290 5.6290 5.6290 136.29 136.29 63.53
Fractional coordinates of all 4 atoms:
Y  0.0000  0.0000  0.0000
Ta  0.2500  0.7500  0.5000
Ta  0.7500  0.2500  0.5000
Tl  0.5000  0.5000  0.0000

Its theoretical density is 12.94 Mg/m³. As for the crystal system: tetragonal.

***

Q: What are the energies relative to the best structure? A: one 0.103; two 0.000, in eV/atom.

***

--- one ---
A plane-wave DFT calculation with SCAN was carried out for a PBEsol-optimized structure of Ta5W.

Lattice parameters (Å, degrees): 5.4098 5.4098 6.5301 107.57 107.57 34.86
Fractional coordinates of all 6 atoms:
Ta  0.0000  0.0000  0.0000
Ta  0.3351  0.3351  0.1723
Ta  0.3383  0.3383  0.6639
Ta  0.6617  0.6617  0.3361
Ta  0.6649  0.6649  0.8277
W  0.0000  0.0000  0.5000

Its theoretical density is 17.44 Mg/m³. As for the crystal system: monoclinic.

***

--- two ---
A plane-wave DFT calculation with SCAN was carried out for a PBEsol-optimized structure of Ta5W.

Lattice parameters (Å, degrees): 5.3336 5.3336 5.3336 60.00 60.00 60.00
Fractional coordinates of all 6 atoms:
Ta  0.0000  0.0000  0.0000
Ta  0.3750  0.3750  0.3750
Ta  0.3750  0.3750  0.8750
Ta  0.3750  0.8750  0.3750
Ta  0.8750  0.3750  0.3750
W  0.7500  0.7500  0.7500

Its theoretical density is 16.85 Mg/m³. As for the crystal system: cubic.

***

Q: What are the energies relative to the best structure? A: one 0.000; two 0.260, in eV/atom.

***

--- one ---
A plane-wave DFT calculation with SCAN was carried out for a PBEsol-optimized structure of Ta4W3.

Lattice parameters (Å, degrees): 5.1866 5.1866 5.2136 90.00 90.00 120.00
Fractional coordinates of all 7 atoms:
Ta  0.0000  0.0000  0.2459
Ta  0.0000  0.0000  0.7541
Ta  0.3333  0.6667  0.0000
Ta  0.6667  0.3333  0.0000
W  0.0000  0.5000  0.5000
W  0.5000  0.0000  0.5000
W  0.5000  0.5000  0.5000

Its theoretical density is 17.44 Mg/m³. As for the crystal system: hexagonal.

***

--- two ---
A plane-wave DFT calculation with SCAN was carried out for a PBEsol-optimized structure of Ta4W3.

Lattice parameters (Å, degrees): 11.5882 11.5882 11.5882 164.11 164.11 22.54
Fractional coordinates of all 7 atoms:
Ta  0.0700  0.0700  0.0000
Ta  0.3549  0.3549  0.0000
Ta  0.6451  0.6451  0.0000
Ta  0.9300  0.9300  0.0000
W  0.2163  0.2163  0.0000
W  0.5000  0.5000  0.0000
W  0.7837  0.7837  0.0000

Its theoretical density is 18.16 Mg/m³. As for the crystal system: tetragonal.

***

Q: What are the energies relative to the best structure? A: one 0.099; two 0.000, in eV/atom.

***

--- one ---
A plane-wave DFT calculation with SCAN was carried out for a PBEsol-optimized structure of YTaW.

Lattice parameters (Å, degrees): 5.8956 5.8956 5.8956 146.81 146.81 47.64
Fractional coordinates of all 3 atoms:
Y  0.0000  0.0000  0.0000
Ta  0.7008  0.7008  0.0000
W  0.3134  0.3134  0.0000

Its theoretical density is 12.32 Mg/m³. As for the crystal system: tetragonal.

***

--- two ---
A plane-wave DFT calculation with SCAN was carried out for a PBEsol-optimized structure of YTaW.

Lattice parameters (Å, degrees): 4.5345 4.5345 4.5345 60.00 60.00 60.00
Fractional coordinates of all 3 atoms:
Y  0.0000  0.0000  0.0000
Ta  0.2500  0.2500  0.2500
W  0.7500  0.7500  0.7500

Its theoretical density is 11.43 Mg/m³. As for the crystal system: cubic.

***

--- three ---
A plane-wave DFT calculation with SCAN was carried out for a PBEsol-optimized structure of YTaW.

Lattice parameters (Å, degrees): 2.9190 2.9190 7.8511 90.00 90.00 120.00
Fractional coordinates of all 3 atoms:
Y  0.0000  0.0000  0.0000
Ta  0.3333  0.6667  0.6466
W  0.6667  0.3333  0.3399

Its theoretical density is 13.00 Mg/m³. As for the crystal system: trigonal.

***

Q: What are the energies relative to the best structure? A: one 0.000; two 1.901; three 0.498, in eV/atom.

***

--- one ---
A plane-wave DFT calculation with SCAN was carried out for a PBEsol-optimized structure of YTa2W.

Lattice parameters (Å, degrees): 5.6438 5.6438 5.6438 146.47 127.97 63.32
Fractional coordinates of all 4 atoms:
Y  0.0000  0.0000  0.0000
Ta  0.2753  0.7753  0.5000
Ta  0.7247  0.2247  0.5000
W  0.5000  0.5000  0.0000

Its theoretical density is 13.61 Mg/m³. As for the crystal system: orthorhombic.

***

--- two ---
A plane-wave DFT calculation with SCAN was carried out for a PBEsol-optimized structure of YTa2W.

Lattice parameters (Å, degrees): 2.9143 2.9143 9.7635 90.00 90.00 112.57
Fractional coordinates of all 4 atoms:
Y  0.0000  0.0000  0.0000
Ta  0.5000  0.5000  0.2819
Ta  0.5000  0.5000  0.7181
W  0.0000  0.0000  0.5000

Its theoretical density is 13.76 Mg/m³. As for the crystal system: orthorhombic.

***

Q: What are the energies relative to the best structure? A: one 0.075; two 0.000, in eV/atom.

***

--- one ---
A plane-wave DFT calculation with SCAN was carried out for a PBEsol-optimized structure of Y2Ta3.

Lattice parameters (Å, degrees): 13.0687 13.0687 13.0687 13.47 13.47 13.47
Fractional coordinates of all 5 atoms:
Y  0.0983  0.0983  0.0983
Y  0.9017  0.9017  0.9017
Ta  0.3033  0.3033  0.3033
Ta  0.5000  0.5000  0.5000
Ta  0.6967  0.6967  0.6967

Its theoretical density is 11.37 Mg/m³. As for the crystal system: trigonal.

***

--- two ---
A plane-wave DFT calculation with SCAN was carried out for a PBEsol-optimized structure of Y2Ta3.

Lattice parameters (Å, degrees): 4.7011 4.7011 6.1010 90.00 90.00 120.00
Fractional coordinates of all 5 atoms:
Y  0.3333  0.6667  0.3560
Y  0.6667  0.3333  0.6440
Ta  0.0000  0.0000  0.5000
Ta  0.3333  0.6667  0.8831
Ta  0.6667  0.3333  0.1169

Its theoretical density is 10.25 Mg/m³. As for the crystal system: trigonal.

***

Q: What are the energies relative to the best structure? A: one 0.000; two 0.874, in eV/atom.

***

--- one ---
A plane-wave DFT calculation with SCAN was carried out for a PBEsol-optimized structure of Y5Ta.

Lattice parameters (Å, degrees): 5.9878 5.9878 5.3044 90.00 90.00 120.00
Fractional coordinates of all 6 atoms:
Y  0.0000  0.3092  0.0000
Y  0.3092  0.0000  0.0000
Y  0.3333  0.6667  0.5000
Y  0.6667  0.3333  0.5000
Y  0.6908  0.6908  0.0000
Ta  0.0000  0.0000  0.5000

Its theoretical density is 6.31 Mg/m³. As for the crystal system: hexagonal.

***

--- two ---
A plane-wave DFT calculation with SCAN was carried out for a PBEsol-optimized structure of Y5Ta.

Lattice parameters (Å, degrees): 5.4186 9.1721 9.1721 21.25 90.00 90.00
Fractional coordinates of all 6 atoms:
Y  0.0000  0.0000  0.0000
Y  0.0000  0.3065  0.3065
Y  0.5000  0.1015  0.1015
Y  0.5000  0.4257  0.4257
Y  0.5000  0.7550  0.7550
Ta  0.0000  0.6539  0.6539

Its theoretical density is 6.29 Mg/m³. As for the crystal system: orthorhombic.

***

Q: What are the energies relative to the best structure? A: one 0.000; two 0.005, in eV/atom.

***

--- one ---
A plane-wave DFT calculation with SCAN was carried out for a PBEsol-optimized structure of YTa.

Lattice parameters (Å, degrees): 3.3103 3.3103 9.8688 90.00 90.00 120.00
Fractional coordinates of all 4 atoms:
Y  0.3333  0.6667  0.3458
Y  0.6667  0.3333  0.6542
Ta  0.3333  0.6667  0.9023
Ta  0.6667  0.3333  0.0977

Its theoretical density is 9.57 Mg/m³. As for the crystal system: trigonal.

***

--- two ---
A plane-wave DFT calculation with SCAN was carried out for a PBEsol-optimized structure of YTa.

Lattice parameters (Å, degrees): 4.4857 4.4857 4.4857 60.00 60.00 60.00
Fractional coordinates of all 2 atoms:
Y  0.0000  0.0000  0.0000
Ta  0.2500  0.2500  0.2500

Its theoretical density is 7.02 Mg/m³. As for the crystal system: cubic.

***

Q: What are the energies relative to the best structure? A: one 0.000; two 2.534, in eV/atom.